Below is a relaxed structure of Ba4AlHg3, with properties calculated at the GGA-PBE level.

The crystal system is tetragonal. The calculation puts the total energy at -15.57 eV per cell. The calculation puts the density of states at the Fermi level at 4.8 states/eV per cell. The calculation puts the formation energy from the elements at -404 meV per atom.

abc: 4.173 4.173 16.956
angles: 90.00 90.00 90.00
Space group P4/mmm (No. 123)
One atom of each set of equivalent atoms:
Ba1 0.000 0.000 0.121
Ba2 0.000 0.000 0.374
Al1 0.500 0.500 0.000
Hg1 0.500 0.500 0.247
Hg2 0.500 0.500 0.500